No. 1
A plane-wave DFT calculation with PBE was carried out for a geometry-optimized HfV4W structure.

Cell lengths 7.150, 7.150, 7.150 Å; angles 90.00, 90.00, 90.00 degrees
Space group F-43m (No. 216)
Unique sites:
1 Hf 0.000 0.000 0.000 [4 per cell]
2 V 0.125 0.125 0.625 [16 per cell]
3 W 0.250 0.250 0.250 [4 per cell]

Computed properties:
**DOS at the Fermi energy**: 2.091 states/eV per atom
**Calculated total energy**: -238.4 eV/cell
**Calculated formation energy**: -0.04 eV per atom
**Magnetization**: 0.00 μB per atom

No. 2
A plane-wave DFT calculation with PBE was carried out for a geometry-optimized Hf2V9W structure.

Cell lengths 5.1749, 5.1749, 23.9551 Å; angles 90.00, 90.00, 120.00 degrees
Space group R-3m (No. 166, hexagonal axes)
Unique sites:
1 Hf 0.0000 0.0000 0.1435 [6 per cell]
2 V 0.0000 0.0000 0.3325 [6 per cell]
3 V 0.0000 0.0000 0.5000 [3 per cell]
4 V 0.0010 0.5005 0.9194 [18 per cell]
5 W 0.0000 0.0000 0.0000 [3 per cell]

Computed properties:
**DOS at the Fermi energy**: 1.459 states/eV per atom
**Calculated total energy**: -337.9 eV/cell
**Calculated formation energy**: 0.19 eV per atom
**Magnetization**: 0.00 μB per atom

No. 3
A plane-wave DFT calculation with PBE was carried out for a geometry-optimized HfV2W structure.

Cell lengths 4.482, 4.482, 3.186 Å; angles 90.00, 90.00, 90.00 degrees
Space group P4/mmm (No. 123)
Unique sites:
1 Hf 0.000 0.000 0.000 [1 per cell]
2 V 0.000 0.500 0.500 [2 per cell]
3 W 0.500 0.500 0.000 [1 per cell]

Computed properties:
**DOS at the Fermi energy**: 1.673 states/eV per atom
**Calculated total energy**: -40.7 eV/cell
**Calculated formation energy**: 0.12 eV per atom
**Polymorph energy (0 for the lowest one)**: 0.062 eV per atom
**Magnetization**: 0.00 μB per atom

No. 4
A plane-wave DFT calculation with PBE was carried out for a geometry-optimized HfV2W structure.

Cell lengths 3.0073, 3.0073, 25.6947 Å; angles 90.00, 90.00, 120.00 degrees
Space group R-3m (No. 166, hexagonal axes)
Unique sites:
1 Hf 0.0000 0.0000 0.0000 [3 per cell]
2 V 0.0000 0.0000 0.2420 [6 per cell]
3 W 0.0000 0.0000 0.5000 [3 per cell]

Computed properties:
**DOS at the Fermi energy**: 1.548 states/eV per atom
**Calculated total energy**: -119.5 eV/cell
**Calculated formation energy**: 0.33 eV per atom
**Polymorph energy (0 for the lowest one)**: 0.274 eV per atom
**Magnetization**: 0.00 μB per atom

No. 5
A plane-wave DFT calculation with PBE was carried out for a geometry-optimized Hf2VW structure.

Cell lengths 7.379, 7.379, 5.638 Å; angles 90.00, 90.00, 90.00 degrees
Space group I-42d (No. 122)
Unique sites:
1 Hf 0.244 0.250 0.125 [8 per cell]
2 V 0.000 0.000 0.000 [4 per cell]
3 W 0.000 0.000 0.500 [4 per cell]

Computed properties:
**DOS at the Fermi energy**: 1.251 states/eV per atom
**Calculated total energy**: -155.4 eV/cell
**Calculated formation energy**: 0.78 eV per atom
**Polymorph energy (0 for the lowest one)**: 0.661 eV per atom
**Magnetization**: 0.26 μB per atom

No. 6
A plane-wave DFT calculation with PBE was carried out for a geometry-optimized HfV2W structure.

Cell lengths 7.077, 7.077, 5.530 Å; angles 90.00, 90.00, 90.00 degrees
Space group I-42d (No. 122)
Unique sites:
1 Hf 0.000 0.000 0.000 [4 per cell]
2 V 0.223 0.250 0.625 [8 per cell]
3 W 0.000 0.000 0.500 [4 per cell]

Computed properties:
**DOS at the Fermi energy**: 1.284 states/eV per atom
**Calculated total energy**: -154.1 eV/cell
**Calculated formation energy**: 0.65 eV per atom
**Polymorph energy (0 for the lowest one)**: 0.596 eV per atom
**Magnetization**: 0.00 μB per atom

No. 7
A plane-wave DFT calculation with PBE was carried out for a geometry-optimized HfVW3 structure.

Cell lengths 4.566, 4.566, 4.566 Å; angles 90.00, 90.00, 90.00 degrees
Space group Pm-3m (No. 221)
Unique sites:
1 Hf 0.000 0.000 0.000 [1 per cell]
2 V 0.500 0.500 0.500 [1 per cell]
3 W 0.000 0.500 0.500 [3 per cell]

Computed properties:
**DOS at the Fermi energy**: 1.236 states/eV per atom
**Calculated total energy**: -51.7 eV/cell
**Calculated formation energy**: 1.24 eV per atom
**Polymorph energy (0 for the lowest one)**: 0.000 eV per atom
**Magnetization**: 0.00 μB per atom

No. 8
A plane-wave DFT calculation with PBE was carried out for a geometry-optimized HfVW structure.

Cell lengths 5.468, 9.418, 8.137 Å; angles 90.00, 90.00, 90.00 degrees
Space group Cmce (No. 64)
Unique sites:
1 Hf 0.000 0.155 0.065 [8 per cell]
2 V 0.000 0.076 0.385 [8 per cell]
3 W 0.250 0.127 0.750 [8 per cell]

Computed properties:
**DOS at the Fermi energy**: 1.018 states/eV per atom
**Calculated total energy**: -251.2 eV/cell
**Calculated formation energy**: 0.21 eV per atom
**Polymorph energy (0 for the lowest one)**: 0.328 eV per atom
**Magnetization**: 0.00 μB per atom

No. 9
A plane-wave DFT calculation with PBE was carried out for a geometry-optimized YHfV4 structure.

Cell lengths 7.459, 7.459, 7.459 Å; angles 90.00, 90.00, 90.00 degrees
Space group F-43m (No. 216)
Unique sites:
1 Y 0.000 0.000 0.000 [4 per cell]
2 Hf 0.250 0.250 0.750 [4 per cell]
3 V 0.125 0.125 0.375 [16 per cell]

Computed properties:
**DOS at the Fermi energy**: 2.539 states/eV per atom
**Calculated total energy**: -205.6 eV/cell
**Calculated formation energy**: 0.25 eV per atom
**Magnetization**: 0.00 μB per atom

No. 10
A plane-wave DFT calculation with PBE was carried out for a geometry-optimized YHf2V structure.

Cell lengths 3.383, 3.383, 7.779 Å; angles 90.00, 90.00, 90.00 degrees
Space group P4/mmm (No. 123)
Unique sites:
1 Y 0.000 0.000 0.000 [1 per cell]
2 Hf 0.500 0.500 0.305 [2 per cell]
3 V 0.000 0.000 0.500 [1 per cell]

Computed properties:
**DOS at the Fermi energy**: 1.682 states/eV per atom
**Calculated total energy**: -34.7 eV/cell
**Calculated formation energy**: 0.19 eV per atom
**Polymorph energy (0 for the lowest one)**: 0.000 eV per atom
**Magnetization**: 0.00 μB per atom